(1)
A plane-wave DFT calculation with PBE was carried out for an optimized crystal structure of TbYNb4. Values from VASP.

Computed properties:
**E above lowest polymorph**: 0.0 meV/atom
**ΔE_f**: 65 kJ/mol of atoms

Cell and atoms, written as Quantum ESPRESSO input:
```
&SYSTEM
  ibrav = 0, nat = 6, ntyp = 3
/
ATOMIC_SPECIES
Tb 158.93 Tb.upf
Nb 92.91 Nb.upf
Y 88.91 Y.upf
CELL_PARAMETERS angstrom
2.595 1.498 5.843
-2.595 1.498 5.843
0.000 -2.997 5.843
ATOMIC_POSITIONS crystal
Tb 0.500 0.500 0.500
Nb 0.173 0.173 0.173
Nb 0.324 0.324 0.324
Nb 0.676 0.676 0.676
Nb 0.827 0.827 0.827
Y 0.000 0.000 0.000
```

---

(2)
A plane-wave DFT calculation with PBE was carried out for an optimized crystal structure of Sr2ZnMo. Values from VASP.

Computed properties:
**Raw total energy**: -3.061 eV per atom

Cell and atoms, written as Quantum ESPRESSO input:
```
&SYSTEM
  ibrav = 0, nat = 4, ntyp = 3
/
ATOMIC_SPECIES
Zn 65.41 Zn.upf
Mo 95.94 Mo.upf
Sr 87.62 Sr.upf
CELL_PARAMETERS angstrom
0.000 3.767 3.767
3.767 0.000 3.767
3.767 3.767 0.000
ATOMIC_POSITIONS crystal
Zn 0.250 0.250 0.250
Mo 0.500 0.500 0.500
Sr 0.000 0.000 0.000
Sr 0.750 0.750 0.750
```

---

(3)
A plane-wave DFT calculation with PBE was carried out for an optimized crystal structure of ZnH3F. Values from VASP.

Computed properties:
**Raw total energy**: -3.249 eV per atom

Cell and atoms, written as Quantum ESPRESSO input:
```
&SYSTEM
  ibrav = 0, nat = 5, ntyp = 3
/
ATOMIC_SPECIES
F 19.00 F.upf
H 1.01 H.upf
Zn 65.41 Zn.upf
CELL_PARAMETERS angstrom
-3.290 4.720 1.298
1.299 -3.260 -4.741
-0.807 -1.901 1.898
ATOMIC_POSITIONS crystal
F 0.909 0.091 0.500
H 0.227 0.773 0.500
H 0.668 0.536 0.534
H 0.464 0.332 0.466
Zn 0.309 0.691 0.000
```

---

(4)
A plane-wave DFT calculation with PBE was carried out for an optimized crystal structure of GdSb. Values from VASP.

Computed properties:
**Raw total energy**: -4.995 eV per atom

Cell and atoms, written as Quantum ESPRESSO input:
```
&SYSTEM
  ibrav = 0, nat = 2, ntyp = 2
/
ATOMIC_SPECIES
Gd 157.25 Gd.upf
Sb 121.76 Sb.upf
CELL_PARAMETERS angstrom
-4.157 -0.894 -2.535
-4.257 2.096 1.409
-2.032 3.572 -2.760
ATOMIC_POSITIONS crystal
Gd 0.000 0.000 0.000
Sb 0.250 0.250 0.250
```

---

(5)
A plane-wave DFT calculation with PBE was carried out for an optimized crystal structure of PrNbIr. Values from VASP.

Computed properties:
**E above lowest polymorph**: 0.0 meV/atom
**ΔE_f**: 12 kJ/mol of atoms

Cell and atoms, written as Quantum ESPRESSO input:
```
&SYSTEM
  ibrav = 0, nat = 3, ntyp = 3
/
ATOMIC_SPECIES
Pr 140.91 Pr.upf
Nb 92.91 Nb.upf
Ir 192.22 Ir.upf
CELL_PARAMETERS angstrom
2.347 1.355 3.832
-2.347 1.355 3.832
0.000 -2.710 3.832
ATOMIC_POSITIONS crystal
Pr 0.250 0.250 0.250
Nb 0.750 0.750 0.750
Ir 0.000 0.000 0.000
```

---

(6)
A plane-wave DFT calculation with PBE was carried out for an optimized crystal structure of TbAsS. Values from VASP.

Computed properties:
**Raw total energy**: -6.046 eV per atom

Cell and atoms, written as Quantum ESPRESSO input:
```
&SYSTEM
  ibrav = 0, nat = 12, ntyp = 3
/
ATOMIC_SPECIES
Tb 158.93 Tb.upf
S 32.06 S.upf
As 74.92 As.upf
CELL_PARAMETERS angstrom
-3.021 -1.098 -2.096
6.725 -15.605 -1.521
1.185 -0.007 5.315
ATOMIC_POSITIONS crystal
Tb 0.014 0.354 0.264
Tb 0.986 0.646 0.736
Tb 0.014 0.146 0.764
Tb 0.986 0.854 0.236
S 0.012 0.187 0.262
S 0.012 0.313 0.762
S 0.988 0.687 0.238
S 0.988 0.813 0.738
As 0.529 0.001 0.279
As 0.471 0.999 0.721
As 0.529 0.499 0.779
As 0.471 0.501 0.221
```